# 1
VASP calculation (GGA-PBE) on Li3MgB after structural relaxation.

POSCAR file:
```
Li3MgB
1.0
4.902 0.000 0.000
0.000 4.902 0.000
0.000 0.000 4.902
Li Mg B
3 1 1
Direct
0.000 0.000 0.500
0.000 0.500 0.000
0.500 0.000 0.000
0.000 0.000 0.000
0.500 0.500 0.500
```

Properties
The offset from the most stable computed form is 0.900 eV/atom. Its crystal system is cubic. The formation energy comes out at 1.3109 eV per atom. For the density of states at the Fermi level, the calculation gives 2.53 states/eV per cell. The calculation puts the total magnetization at 0.00 μB/f.u. The total energy comes out at -1.49 eV per atom.

---

# 2
VASP calculation (GGA-PBE) on DyY3Er7 after structural relaxation.

POSCAR file:
```
DyY3Er7
1.0
-2.872 5.540 5.581
2.872 -5.540 5.581
2.872 5.540 -5.581
Dy Y Er
1 3 7
Direct
0.000 0.000 0.000
0.293 0.500 0.793
0.500 0.000 0.500
0.707 0.500 0.207
0.000 0.500 0.500
0.099 0.796 0.302
0.291 0.291 0.000
0.494 0.796 0.698
0.506 0.204 0.302
0.709 0.709 0.000
0.901 0.204 0.698
```

Properties
Its crystal system is orthorhombic. The formation energy comes out at 0.2835 eV per atom. For the density of states at the Fermi level, the calculation gives 16.27 states/eV per cell. The calculation puts the total magnetization at 0.39 μB/f.u. The total energy comes out at -4.80 eV per atom.

---

# 3
VASP calculation (GGA-PBE) on PrTlBr4 after structural relaxation.

POSCAR file:
```
PrTlBr4
1.0
4.372 -9.320 0.000
4.372 9.320 0.000
-3.251 0.000 6.754
Pr Tl Br
2 2 8
Direct
0.069 0.931 0.750
0.931 0.069 0.250
0.313 0.687 0.750
0.687 0.313 0.250
0.060 0.413 0.257
0.156 0.252 0.679
0.252 0.156 0.179
0.413 0.060 0.757
0.587 0.940 0.243
0.748 0.844 0.821
0.844 0.748 0.321
0.940 0.587 0.743
```

Properties
The offset from the most stable computed form is 0.000 eV/atom. Its crystal system is monoclinic. For the density of states at the Fermi level, the calculation gives 0.00 states/eV per cell. As for the uncorrected formation energy: -9.27 eV per formula unit. The calculation puts the total magnetization at 0.00 μB/f.u. The total energy comes out at -3.85 eV per atom.

---

# 4
VASP calculation (GGA-PBE) on Sb2IrRh after structural relaxation.

POSCAR file:
```
Sb2IrRh
1.0
6.639 0.000 0.000
0.000 6.639 0.000
0.000 0.000 6.639
Sb Ir Rh
8 4 4
Direct
0.250 0.250 0.250
0.250 0.250 0.750
0.250 0.750 0.250
0.250 0.750 0.750
0.750 0.250 0.250
0.750 0.250 0.750
0.750 0.750 0.250
0.750 0.750 0.750
0.000 0.000 0.000
0.000 0.500 0.500
0.500 0.000 0.500
0.500 0.500 0.000
0.000 0.000 0.500
0.000 0.500 0.000
0.500 0.000 0.000
0.500 0.500 0.500
```

Properties
The offset from the most stable computed form is 0.248 eV/atom. Its crystal system is cubic. For the density of states at the Fermi level, the calculation gives 12.05 states/eV per cell. As for the uncorrected formation energy: 0.18 eV per formula unit. The calculation puts the total magnetization at 0.00 μB/f.u. The total energy comes out at -6.07 eV per atom.

---

# 5
VASP calculation (GGA-PBE) on K2CaH2Br2 after structural relaxation.

POSCAR file:
```
K2CaH2Br2
1.0
4.610 0.000 0.000
0.000 4.610 0.000
0.000 0.000 17.251
K Ca H Br
4 2 4 4
Direct
0.000 0.000 0.133
0.000 0.000 0.867
0.500 0.500 0.367
0.500 0.500 0.633
0.000 0.000 0.500
0.500 0.500 0.000
0.000 0.500 0.000
0.000 0.500 0.500
0.500 0.000 0.000
0.500 0.000 0.500
0.000 0.000 0.333
0.000 0.000 0.667
0.500 0.500 0.167
0.500 0.500 0.833
```

Properties
Its crystal system is tetragonal. For the density of states at the Fermi level, the calculation gives 0.00 states/eV per cell. The calculation puts the total magnetization at 0.00 μB/f.u. The total energy comes out at -3.19 eV per atom.

---

# 6
VASP calculation (GGA-PBE) on Rb2TaNiI6 after structural relaxation.

POSCAR file:
```
Rb2TaNiI6
1.0
-4.003 4.003 5.759
4.003 -4.003 5.759
4.003 4.003 -5.759
Rb Ta Ni I
2 1 1 6
Direct
0.250 0.750 0.500
0.750 0.250 0.500
0.000 0.000 0.000
0.500 0.500 0.000
0.249 0.249 0.000
0.252 0.252 0.505
0.252 0.748 0.000
0.748 0.252 0.000
0.748 0.748 0.495
0.751 0.751 0.000
```

Properties
Its crystal system is tetragonal. For the density of states at the Fermi level, the calculation gives 7.72 states/eV per cell. As for the uncorrected formation energy: -5.29 eV per formula unit. The calculation puts the total magnetization at 1.00 μB/f.u. The total energy comes out at -3.42 eV per atom.

---

# 7
VASP calculation (GGA-PBE) on AlP2H2 after structural relaxation.

POSCAR file:
```
AlP2H2
1.0
6.436 0.000 0.000
0.000 6.436 0.000
0.000 0.000 2.839
Al P H
2 4 4
Direct
0.000 0.000 0.000
0.500 0.500 0.000
0.119 0.381 0.000
0.381 0.881 0.000
0.619 0.119 0.000
0.881 0.619 0.000
0.106 0.606 0.500
0.394 0.106 0.500
0.606 0.894 0.500
0.894 0.394 0.500
```

Properties
The offset from the most stable computed form is 0.036 eV/atom. Its crystal system is tetragonal. For the density of states at the Fermi level, the calculation gives 3.34 states/eV per cell. The calculation puts the total magnetization at 0.00 μB/f.u. The total energy comes out at -3.63 eV per atom.

---

# 8
VASP calculation (GGA-PBE) on AsP2SeS after structural relaxation.

POSCAR file:
```
AsP2SeS
1.0
4.870 0.000 0.000
0.000 4.870 0.000
0.000 0.000 4.470
As P Se S
1 2 1 1
Direct
0.000 0.000 0.000
0.000 0.500 0.000
0.500 0.000 0.000
0.500 0.500 0.500
0.000 0.000 0.500
```

Properties
The offset from the most stable computed form is 0.000 eV/atom. Its crystal system is tetragonal. For the density of states at the Fermi level, the calculation gives 4.52 states/eV per cell. As for the uncorrected formation energy: 5.16 eV per formula unit. The calculation puts the total magnetization at 0.00 μB/f.u. The total energy comes out at -3.59 eV per atom.

---

# 9
VASP calculation (GGA-PBE) on RbNa2Y after structural relaxation.

POSCAR file:
```
RbNa2Y
1.0
3.727 0.000 0.000
-1.863 3.228 0.000
0.000 0.000 43.522
Rb Na Y
3 6 3
Direct
0.000 0.000 0.000
0.333 0.667 0.667
0.667 0.333 0.333
0.000 0.000 0.421
0.000 0.000 0.579
0.333 0.667 0.087
0.333 0.667 0.246
0.667 0.333 0.754
0.667 0.333 0.913
0.000 0.000 0.500
0.333 0.667 0.167
0.667 0.333 0.833
```

Properties
The offset from the most stable computed form is 0.000 eV/atom. Its crystal system is trigonal. The formation energy comes out at 0.3839 eV per atom. For the density of states at the Fermi level, the calculation gives 12.05 states/eV per cell. The calculation puts the total magnetization at 0.30 μB/f.u. The total energy comes out at -2.13 eV per atom.

---

# 10
VASP calculation (GGA-PBE) on BaTi2AgO after structural relaxation.

POSCAR file:
```
BaTi2AgO
1.0
5.186 0.000 0.000
0.000 5.186 0.000
0.000 0.000 4.691
Ba Ti Ag O
1 2 1 1
Direct
0.000 0.000 0.000
0.000 0.500 0.500
0.500 0.000 0.500
0.500 0.500 0.500
0.500 0.500 0.000
```

Properties
Its crystal system is tetragonal. For the density of states at the Fermi level, the calculation gives 4.20 states/eV per cell. As for the uncorrected formation energy: 3.84 eV per formula unit. The calculation puts the total magnetization at 5.04 μB/f.u. The total energy comes out at -4.34 eV per atom.

---

# 11
VASP calculation (GGA-PBE) on Pr12ErSc3 after structural relaxation.

POSCAR file:
```
Pr12ErSc3
1.0
5.107 0.000 0.000
0.000 5.107 0.000
0.000 0.000 20.440
Pr Er Sc
12 1 3
Direct
0.000 0.000 0.000
0.000 0.000 0.248
0.000 0.000 0.500
0.000 0.000 0.752
0.000 0.500 0.124
0.000 0.500 0.372
0.000 0.500 0.628
0.000 0.500 0.876
0.500 0.000 0.124
0.500 0.000 0.372
0.500 0.000 0.628
0.500 0.000 0.876
0.500 0.500 0.500
0.500 0.500 0.000
0.500 0.500 0.248
0.500 0.500 0.752
```

Properties
Its crystal system is tetragonal. The formation energy comes out at 0.0317 eV per atom. For the density of states at the Fermi level, the calculation gives 20.75 states/eV per cell. The calculation puts the total magnetization at 0.00 μB/f.u. The total energy comes out at -5.03 eV per atom.

---

# 12
VASP calculation (GGA-PBE) on Ti7AsC2 after structural relaxation.

POSCAR file:
```
Ti7AsC2
1.0
3.518 -5.345 0.000
3.518 5.345 0.000
0.000 0.000 4.056
Ti As C
7 1 2
Direct
0.000 0.000 0.000
0.163 0.426 0.000
0.228 0.772 0.500
0.426 0.163 0.000
0.574 0.837 0.000
0.772 0.228 0.500
0.837 0.574 0.000
0.500 0.500 0.500
0.206 0.794 0.000
0.794 0.206 0.000
```

Properties
Its crystal system is orthorhombic. The formation energy comes out at -0.2541 eV per atom. For the density of states at the Fermi level, the calculation gives 9.19 states/eV per cell. The calculation puts the total magnetization at 0.00 μB/f.u. The total energy comes out at -8.09 eV per atom.

---

# 13
VASP calculation (GGA-PBE) on PmPrHoIn after structural relaxation.

POSCAR file:
```
PmPrHoIn
1.0
7.844 0.000 0.000
0.000 7.844 0.000
0.000 0.000 7.844
Pm Pr Ho In
4 4 4 4
Direct
0.000 0.000 0.000
0.000 0.500 0.500
0.500 0.000 0.500
0.500 0.500 0.000
0.250 0.250 0.750
0.250 0.750 0.250
0.750 0.250 0.250
0.750 0.750 0.750
0.000 0.000 0.500
0.000 0.500 0.000
0.500 0.000 0.000
0.500 0.500 0.500
0.250 0.250 0.250
0.250 0.750 0.750
0.750 0.250 0.750
0.750 0.750 0.250
```

Properties
The offset from the most stable computed form is 0.052 eV/atom. Its crystal system is cubic. The formation energy comes out at -0.1008 eV per atom. For the density of states at the Fermi level, the calculation gives 23.83 states/eV per cell. The calculation puts the total magnetization at 1.24 μB/f.u. The total energy comes out at -4.31 eV per atom.